[1]
Al2CoTe | GGA-PBE | optimized geometry

Geometry as extended XYZ:
```
4
Lattice="0.000 3.266 3.266 3.266 0.000 3.266 3.266 3.266 0.000" Properties=species:S:1:pos:R:3 pbc="T T T"
Al 0.000 0.000 0.000
Al 4.900 4.900 4.900
Te 3.266 3.266 3.266
Co 1.633 1.633 1.633
```

Computed properties:
For the total energy, the calculation gives -4.09 eV per atom.

=====

[2]
AgAsOsO | GGA-PBE | optimized geometry

Geometry as extended XYZ:
```
8
Lattice="-2.739 -1.925 1.176 3.740 -2.706 4.284 -1.461 4.657 4.218" Properties=species:S:1:pos:R:3 pbc="T T T"
O -0.549 -0.450 3.338
Os 0.251 -2.060 2.566
Ag -0.117 1.954 2.926
Os -0.042 -0.049 5.177
As 2.324 -0.219 5.057
O -0.079 1.010 6.823
Ag 3.069 -2.151 3.630
As -0.503 3.626 4.765
```

Computed properties:
The value obtained for the offset from the most stable computed form is 0.001 eV per atom.

=====

[3]
LaYSi2Os | GGA-PBE | optimized geometry

Geometry as extended XYZ:
```
10
Lattice="-2.706 -1.757 4.878 -0.233 -4.846 3.265 8.192 5.844 1.363" Properties=species:S:1:pos:R:3 pbc="T T T"
Si 3.697 0.340 5.017
Si 6.647 3.166 4.125
Os 5.033 0.292 7.155
Si -1.394 -3.925 5.381
Os 0.219 -1.052 2.351
La 4.339 2.216 2.406
Y 6.778 4.831 1.136
La 0.913 -2.975 7.100
Y -1.526 -5.590 8.370
Si 1.555 -1.099 4.489
```

Computed properties:
For the total energy, the calculation gives -7.42 eV per atom.